# GGA+U KZrVO5, relaxed
data_KZrVO5
_space_group_name_H-M_alt 'C 1 2/c 1'
_space_group_IT_number 15
_cell_length_a 7.3813
_cell_length_b 9.6361
_cell_length_c 7.7948
_cell_angle_alpha 90.00
_cell_angle_beta 114.90
_cell_angle_gamma 90.00
loop_
_space_group_symop_operation_xyz
'x,y,z'
'-x,-y,-z'
'-x,y,-z+1/2'
'x,-y,z+1/2'
'x+1/2,y+1/2,z'
'-x+1/2,-y+1/2,-z'
'-x+1/2,y+1/2,-z+1/2'
'x+1/2,-y+1/2,z+1/2'
loop_
_atom_site_label
_atom_site_fract_x
_atom_site_fract_y
_atom_site_fract_z
K1 0.0000 0.1723 0.2500
Zr1 0.0000 0.5000 0.0000
V1 0.0000 0.1841 0.7500
O1 0.0000 0.4399 0.2500
O2 0.0824 0.2908 0.6147
O3 0.1923 0.0751 0.8949
# **Theoretical density**: 3.45 g cm⁻³
# **VASP energy**: -7.721 eV/atom